# 1
{"formula": "Ti3PtO", "functional": "GGA-PBE", "state": "optimized geometry", "lattice_angstrom": [[4.096, 0.000, 0.000], [0.000, 4.096, 0.000], [0.000, 0.000, 4.096]], "species": ["O", "Pt", "Ti", "Ti", "Ti"], "fractional_positions": [[0.000, 0.000, 0.000], [0.500, 0.500, 0.500], [0.000, 0.500, 0.000], [0.000, 0.000, 0.500], [0.500, 0.000, 0.000]], "total_energy_ev_per_atom": -8.437, "e_form_raw_kj_per_mol_fu": -724}


# 2
{"formula": "Rb3Ca4F12", "functional": "GGA-PBE", "state": "optimized geometry", "lattice_angstrom": [[-4.933, -0.096, 6.074], [-0.498, -6.782, -3.871], [7.316, 0.991, 2.596]], "species": ["Rb", "Rb", "Rb", "Ca", "Ca", "Ca", "Ca", "F", "F", "F", "F", "F", "F", "F", "F", "F", "F", "F", "F"], "fractional_positions": [[0.500, 0.500, 0.000], [0.000, 0.500, 0.500], [0.500, 0.000, 0.500], [0.500, 0.500, 0.500], [0.500, 0.000, 0.000], [0.000, 0.000, 0.500], [0.000, 0.500, 0.000], [0.249, 0.728, 0.976], [0.751, 0.272, 0.024], [0.249, 0.272, 0.521], [0.272, 0.024, 0.751], [0.976, 0.249, 0.728], [0.479, 0.751, 0.728], [0.728, 0.479, 0.751], [0.024, 0.751, 0.272], [0.751, 0.728, 0.479], [0.728, 0.976, 0.249], [0.521, 0.249, 0.272], [0.272, 0.521, 0.249]], "total_energy_ev_per_atom": -5.087, "e_form_raw_kj_per_mol_fu": -6106}


Copy entry 2 word for word.
{"formula": "Rb3Ca4F12", "functional": "GGA-PBE", "state": "optimized geometry", "lattice_angstrom": [[-4.933, -0.096, 6.074], [-0.498, -6.782, -3.871], [7.316, 0.991, 2.596]], "species": ["Rb", "Rb", "Rb", "Ca", "Ca", "Ca", "Ca", "F", "F", "F", "F", "F", "F", "F", "F", "F", "F", "F", "F"], "fractional_positions": [[0.500, 0.500, 0.000], [0.000, 0.500, 0.500], [0.500, 0.000, 0.500], [0.500, 0.500, 0.500], [0.500, 0.000, 0.000], [0.000, 0.000, 0.500], [0.000, 0.500, 0.000], [0.249, 0.728, 0.976], [0.751, 0.272, 0.024], [0.249, 0.272, 0.521], [0.272, 0.024, 0.751], [0.976, 0.249, 0.728], [0.479, 0.751, 0.728], [0.728, 0.479, 0.751], [0.024, 0.751, 0.272], [0.751, 0.728, 0.479], [0.728, 0.976, 0.249], [0.521, 0.249, 0.272], [0.272, 0.521, 0.249]], "total_energy_ev_per_atom": -5.087, "e_form_raw_kj_per_mol_fu": -6106}


Q: Number 2 is which compound?
A: Rb3Ca4F12